No. 1
Below is a relaxed YOsCl2 crystal, with properties calculated at the PBE level.

Unit cell a=3.8817 b=3.8817 c=10.0582 alpha=90.00 beta=90.00 gamma=90.00
Closest atoms and distances in Å follow each position.
Sites, in units of the cell vectors:
1 Y 0.0000 0.0000 0.0000  4 Cl 2.74
2 Y 0.5000 0.5000 0.5000  4 Cl 2.74
3 Os 0.0000 0.5000 0.2500  4 Cl 2.74
4 Os 0.5000 0.0000 0.7500  4 Cl 2.74
5 Cl 0.0000 0.0000 0.5000  4 Y 2.74
6 Cl 0.0000 0.5000 0.7500  4 Os 2.74
7 Cl 0.5000 0.0000 0.2500  4 Os 2.74
8 Cl 0.5000 0.5000 0.0000  4 Y 2.74

## Properties
V in Å³ per cell: 152
E_form (uncorrected) in meV per atom: 16
Spin magnetization in μB per cell: 1.65
SG: I-4m2 (119)

***

No. 2
Below is a relaxed La3Ga4Ag2 crystal, with properties calculated at the PBE level.

Unit cell a=6.0920 b=6.0920 c=8.8498 alpha=110.52 beta=110.52 gamma=45.20
Closest atoms and distances in Å follow each position.
Sites, in units of the cell vectors:
1 La 0.0000 0.0000 0.0000  8 Ga 3.13-3.46, 4 Ag 3.23
2 La 0.3281 0.3281 0.3414  8 Ga 3.19-3.48, 4 Ag 3.22-3.36
3 La 0.6719 0.6719 0.6586  8 Ga 3.19-3.48, 4 Ag 3.22-3.36
4 Ga 0.0273 0.0273 0.3658  1 Ga 2.67, 2 Ag 2.72
5 Ga 0.2578 0.2578 0.9233  1 Ag 2.74, 2 Ga 2.74
6 Ga 0.7422 0.7422 0.0767  1 Ag 2.74, 2 Ga 2.74
7 Ga 0.9727 0.9727 0.6342  1 Ga 2.67, 2 Ag 2.72
8 Ag 0.3992 0.3992 0.7302  3 Ga 2.72-2.74
9 Ag 0.6008 0.6008 0.2698  3 Ga 2.72-2.74

## Properties
V in Å³ per cell: 216
Electronic total energy in eV/atom: -4.179
Spin magnetization in μB per cell: 0.00
SG: C2/m (12)